A relaxed AcAgI6 crystal. Source: Alexandria, functional GGA-PBE.

Computed properties:
SG: P-1 (2)

Cell lengths 10.9715, 12.0991, 8.4284 Å; angles 55.40, 50.73, 25.79 degrees
Sites, in units of the cell vectors:
Ac 0.5000 0.5000 0.5000
Ag 0.0000 0.0000 0.0000
I 0.0926 0.4943 0.7800
I 0.8382 0.0031 0.8282
I 0.3342 0.4864 0.2862
I 0.1618 0.9969 0.1718
I 0.9074 0.5057 0.2200
I 0.6658 0.5136 0.7138

=====

A relaxed BeBiAsBr2 crystal. Source: Alexandria, functional GGA-PBE.

Computed properties:
E above lowest polymorph, kJ/mol of atoms: 0.0
SG: P4/mmm (123)
D(E_F), states/eV/atom: 0.550

Cell lengths 4.6794, 4.6794, 5.1678 Å; angles 90.00, 90.00, 90.00 degrees
Sites, in units of the cell vectors:
Be 0.0000 0.0000 0.0000
As 0.0000 0.0000 0.5000
Bi 0.5000 0.5000 0.5000
Br 0.0000 0.5000 0.0000
Br 0.5000 0.0000 0.0000

=====

A relaxed B2C crystal. Source: Alexandria, functional GGA-PBE.

Computed properties:
E above lowest polymorph, kJ/mol of atoms: 26.1
SG: P2/c (13)
Formation energy, eV per atom: 0.456
D(E_F), states/eV/atom: 0.187

Cell lengths 4.0929, 3.8136, 6.0047 Å; angles 69.25, 90.00, 90.00 degrees
Sites, in units of the cell vectors:
B 0.8645 0.3198 0.5553
B 0.1708 0.0000 0.7500
B 0.8645 0.6802 0.9447
B 0.1355 0.3198 0.0553
B 0.4191 0.5000 0.2500
B 0.8292 0.0000 0.2500
B 0.1355 0.6802 0.4447
B 0.5809 0.5000 0.7500
C 0.6076 0.1554 0.4236
C 0.3924 0.8446 0.5764
C 0.3924 0.1554 0.9236
C 0.6076 0.8446 0.0764

=====

A relaxed HgAu crystal. Source: Alexandria, functional GGA-PBE.

Computed properties:
SG: F-43m (216)
Formation energy, eV per atom: 0.319
D(E_F), states/eV/atom: 0.060

Cell lengths 4.5151, 4.5151, 4.5151 Å; angles 60.00, 60.00, 60.00 degrees
Sites, in units of the cell vectors:
Au 0.0000 0.0000 0.0000
Hg 0.2500 0.2500 0.2500

=====

A relaxed PrGa3Pd3 crystal. Source: Alexandria, functional GGA-PBE.

Computed properties:
E above lowest polymorph, kJ/mol of atoms: 9.4
SG: R-3 (148)
Formation energy, eV per atom: -0.598
D(E_F), states/eV/atom: 0.343

Cell lengths 6.9386, 6.9386, 7.4869 Å; angles 62.39, 62.39, 60.00 degrees
Sites, in units of the cell vectors:
Pr 0.3391 0.3391 0.9827
Pr 0.6609 0.6609 0.0173
Ga 0.5392 0.7337 0.6248
Ga 0.7337 0.1023 0.6248
Ga 0.1023 0.5392 0.6248
Ga 0.8977 0.4608 0.3752
Ga 0.2663 0.8977 0.3752
Ga 0.4608 0.2663 0.3752
Pd 0.1676 0.6927 0.2197
Pd 0.9199 0.1676 0.2197
Pd 0.6927 0.9199 0.2197
Pd 0.3073 0.0801 0.7803
Pd 0.0801 0.8324 0.7803
Pd 0.8324 0.3073 0.7803

=====

A relaxed TaWSe2 crystal. Source: Alexandria, functional GGA-PBE.

Computed properties:
E above lowest polymorph, kJ/mol of atoms: 101.3
SG: I-42d (122)
D(E_F), states/eV/atom: 1.417

Cell lengths 5.9948, 5.9948, 6.6848 Å; angles 63.36, 63.36, 90.00 degrees
Site moments in Bohr magnetons follow the coordinates.
Sites, in units of the cell vectors:
Se 0.6335 0.1250 0.2500  0.00
Se 0.1165 0.6250 0.2500  0.00
Se 0.3750 0.3665 0.7500  0.00
Se 0.8750 0.8835 0.7500  0.00
W 0.0000 0.0000 0.0000  0.70
W 0.7500 0.2500 0.5000  0.70
Ta 0.5000 0.5000 0.0000  0.28
Ta 0.2500 0.7500 0.5000  0.28

=====

A relaxed CaAg2P crystal. Source: Alexandria, functional GGA-PBE.

Computed properties:
SG: I-42d (122)
Formation energy, eV per atom: -0.179
D(E_F), states/eV/atom: 0.291

Cell lengths 4.1002, 4.1002, 10.5931 Å; angles 78.84, 78.84, 90.00 degrees
Sites, in units of the cell vectors:
P 0.5000 0.5000 0.0000
P 0.2500 0.7500 0.5000
Ca 0.0000 0.0000 0.0000
Ca 0.7500 0.2500 0.5000
Ag 0.6005 0.1250 0.2500
Ag 0.1495 0.6250 0.2500
Ag 0.3750 0.3995 0.7500
Ag 0.8750 0.8505 0.7500

=====

A relaxed Ba4MgGa crystal. Source: Alexandria, functional GGA-PBE.

Computed properties:
E above lowest polymorph, kJ/mol of atoms: 0.0
SG: P4/mmm (123)
Formation energy, eV per atom: -0.145
D(E_F), states/eV/atom: 1.030

Cell lengths 4.2425, 4.2425, 15.4984 Å; angles 90.00, 90.00, 90.00 degrees
Sites, in units of the cell vectors:
Ba 0.5000 0.5000 0.8588
Ba 0.5000 0.5000 0.1412
Ba 0.0000 0.0000 0.6227
Ba 0.0000 0.0000 0.3773
Mg 0.0000 0.0000 0.0000
Ga 0.5000 0.5000 0.5000

=====

A relaxed MgBeSb2 crystal. Source: Alexandria, functional GGA-PBE.

Computed properties:
E above lowest polymorph, kJ/mol of atoms: 8.2
SG: Cm (8)
D(E_F), states/eV/atom: 0.258

Cell lengths 4.6140, 4.6140, 6.2470 Å; angles 70.64, 70.64, 49.88 degrees
Sites, in units of the cell vectors:
Sb 0.9762 0.9762 0.9150
Sb 0.2607 0.2607 0.3503
Mg 0.7427 0.7427 0.7153
Be 0.5203 0.5203 0.5194

=====

A relaxed Tb2Tl3BiTe6 crystal. Source: Alexandria, functional GGA-PBE.

Computed properties:
SG: C2/m (12)

Cell lengths 7.8127, 7.8127, 8.5321 Å; angles 98.78, 98.78, 120.04 degrees
Sites, in units of the cell vectors:
Tb 0.3332 0.6668 0.0000
Tb 0.6668 0.3332 0.0000
Tl 0.1668 0.8332 0.5000
Tl 0.8332 0.1668 0.5000
Tl 0.5000 0.5000 0.5000
Bi 0.0000 0.0000 0.0000
Te 0.9282 0.5903 0.7846
Te 0.7343 0.7343 0.2164
Te 0.0718 0.4097 0.2154
Te 0.5903 0.9282 0.7846
Te 0.2657 0.2657 0.7836
Te 0.4097 0.0718 0.2154

=====

A relaxed SrAc2Tl6 crystal. Source: Alexandria, functional GGA-PBE.

Computed properties:
SG: P6/mmm (191)
Formation energy, eV per atom: -0.278
D(E_F), states/eV/atom: 0.926

Cell lengths 3.8832, 9.3517, 9.3517 Å; angles 120.00, 90.00, 90.00 degrees
Sites, in units of the cell vectors:
Sr 0.0000 0.0000 0.0000
Ac 0.0000 0.3333 0.6667
Ac 0.0000 0.6667 0.3333
Tl 0.5000 0.3337 0.3337
Tl 0.5000 0.6663 0.6663
Tl 0.5000 0.0000 0.6663
Tl 0.5000 0.6663 0.0000
Tl 0.5000 0.3337 0.0000
Tl 0.5000 0.0000 0.3337

=====

A relaxed In2Co3Ge2 crystal. Source: Alexandria, functional GGA-PBE.

Computed properties:
SG: P-1 (2)
Formation energy, eV per atom: -0.038
D(E_F), states/eV/atom: 0.688

Cell lengths 3.9413, 6.5018, 4.8494 Å; angles 73.99, 89.97, 107.66 degrees
Sites, in units of the cell vectors:
In 0.8709 0.7410 0.5640
In 0.1291 0.2590 0.4360
Co 0.0000 0.0000 0.0000
Co 0.7783 0.5571 0.1435
Co 0.2217 0.4429 0.8565
Ge 0.6153 0.2305 0.9760
Ge 0.3847 0.7695 0.0240

=====

no.,V (Å³ per cell),E_tot (eV per atom),magnetization (μB/f.u.)
1,377,-2.819,0.00
2,113,-3.043,0.00
3,88,-7.071,0.00
4,65,-1.471,0.00
5,264,-4.803,0.00
6,186,-7.221,1.28
7,171,-3.457,0.00
8,279,-2.197,0.00
9,95,-3.221,0.00
10,429,-4.062,0.00
11,294,-2.956,0.00
12,113,-5.185,0.00